[1]
PBE Ce4Th5Tl, optimized geometry; ΔH_f (0 K) = 0.8 eV per formula unit; DFT total energy = -62.39 eV for the cell shown; DOS at the Fermi energy = 23.5 states/eV per cell; total magnetic moment = 0.000 Bohr magnetons per cell
1.0
4.179 0.000 0.000
0.000 4.179 0.000
0.000 0.000 17.097
Ce Th Tl
4 5 1
Cartesian
0.000 0.000 1.828
0.000 0.000 4.990
0.000 0.000 12.107
0.000 0.000 15.269
2.090 2.090 0.000
2.090 2.090 3.402
2.090 2.090 6.859
2.090 2.090 10.238
2.090 2.090 13.695
0.000 0.000 8.548

[2]
PBE MgNb4Pt5, optimized geometry; ΔH_f (0 K) = -7.0 eV per formula unit; DFT total energy = -79.07 eV for the cell shown; DOS at the Fermi energy = 3.0 states/eV per cell; total magnetic moment = 0.000 Bohr magnetons per cell
1.0
2.856 0.000 0.000
0.000 2.856 0.000
0.000 0.000 20.097
Mg Nb Pt
1 4 5
Cartesian
0.000 0.000 0.000
0.000 0.000 3.906
0.000 0.000 8.004
0.000 0.000 12.093
0.000 0.000 16.191
1.428 1.428 1.932
1.428 1.428 5.955
1.428 1.428 10.049
1.428 1.428 14.142
1.428 1.428 18.166

[3]
PBE CaSm2Lu, optimized geometry; ΔH_f (0 K) = 0.6 eV per formula unit; DFT total energy = -15.38 eV for the cell shown; DOS at the Fermi energy = 4.5 states/eV per cell; excess energy over the best structure of this formula in the dataset = 65.9 meV per atom; total magnetic moment = 0.000 Bohr magnetons per cell
1.0
1.779 1.027 12.680
-1.779 1.027 12.680
0.000 -2.054 12.680
Ca Sm Lu
1 2 1
Cartesian
0.000 0.000 0.000
0.000 0.000 3.520
0.000 0.000 34.519
0.000 0.000 19.020

[4]
PBE HfSbTe2Au, optimized geometry; DFT total energy = -20.09 eV for the cell shown; DOS at the Fermi energy = 5.4 states/eV per cell; raw formation energy = 0.710 eV per atom; excess energy over the best structure of this formula in the dataset = 389.5 meV per atom; total magnetic moment = 0.000 Bohr magnetons per cell
1.0
5.363 0.000 0.000
0.000 5.363 0.000
0.000 0.000 5.244
Hf Sb Te Au
1 1 2 1
Cartesian
0.000 0.000 0.000
2.682 2.682 0.000
0.000 2.682 2.622
2.682 0.000 2.622
2.682 2.682 2.622

[5]
PBE Mn2HgSe2, optimized geometry; DFT total energy = -26.09 eV for the cell shown; DOS at the Fermi energy = 5.9 states/eV per cell; raw formation energy = -0.097 eV per atom; excess energy over the best structure of this formula in the dataset = 151.3 meV per atom; total magnetic moment = 9.104 Bohr magnetons per cell
1.0
-2.545 2.545 6.305
2.545 -2.545 6.305
2.545 2.545 -6.305
Mn Hg Se
2 1 2
Cartesian
0.000 0.000 2.846
0.000 0.000 9.765
0.000 0.000 0.000
2.545 0.000 3.153
0.000 2.545 3.153

[6]
PBE TiMn2Fe, optimized geometry; ΔH_f (0 K) = -0.1 eV per formula unit; DFT total energy = -34.76 eV for the cell shown; DOS at the Fermi energy = 4.9 states/eV per cell; total magnetic moment = 2.912 Bohr magnetons per cell
1.0
2.911 0.000 0.000
0.000 2.911 0.000
0.000 0.000 5.720
Ti Mn Fe
1 2 1
Cartesian
0.000 0.000 0.000
1.456 1.456 1.520
1.456 1.456 4.199
0.000 0.000 2.860

[7]
PBE SmGeAsRh3, optimized geometry; ΔH_f (0 K) = -3.9 eV per formula unit; DFT total energy = -79.94 eV for the cell shown; DOS at the Fermi energy = 4.9 states/eV per cell; total magnetic moment = 0.000 Bohr magnetons per cell
1.0
2.825 -7.640 0.000
2.825 7.640 0.000
0.000 0.000 5.646
Sm Ge As Rh
2 2 2 6
Cartesian
2.825 4.607 4.235
2.825 -4.607 1.412
2.825 1.438 1.412
2.825 -1.438 4.235
2.825 6.262 1.412
2.825 -6.262 4.235
2.825 3.860 1.412
1.409 0.000 0.000
1.409 0.000 2.823
4.240 0.000 0.000
4.240 0.000 2.823
2.825 -3.860 4.235

[8]
PBE CdIn3Pb, optimized geometry; ΔH_f (0 K) = 1.8 eV per formula unit; DFT total energy = -11.00 eV for the cell shown; DOS at the Fermi energy = 5.1 states/eV per cell; excess energy over the best structure of this formula in the dataset = 333.1 meV per atom; total magnetic moment = 0.000 Bohr magnetons per cell
1.0
5.518 0.000 0.000
0.000 5.518 0.000
0.000 0.000 5.518
Cd In Pb
1 3 1
Cartesian
0.000 0.000 0.000
0.000 0.000 2.759
0.000 2.759 0.000
2.759 0.000 0.000
2.759 2.759 2.759

[9]
PBE La2Y5Ho2, optimized geometry; ΔH_f (0 K) = 1.7 eV per formula unit; DFT total energy = -99.18 eV for the cell shown; DOS at the Fermi energy = 25.8 states/eV per cell; excess energy over the best structure of this formula in the dataset = 0.0 meV per atom; total magnetic moment = 0.000 Bohr magnetons per cell
1.0
-6.236 4.407 5.589
6.236 -4.407 5.589
6.236 4.407 -5.589
La Y Ho
4 10 4
Cartesian
0.000 0.000 0.000
6.236 0.000 0.000
9.354 -0.942 1.231
3.118 0.942 1.231
7.422 2.798 -2.807
5.049 -1.609 2.782
3.118 -1.819 5.682
-1.186 1.609 2.782
7.422 1.609 2.782
1.560 3.808 2.660
4.675 3.808 2.660
3.118 6.226 0.093
-1.560 5.006 2.660
1.560 0.599 8.249
1.348 3.307 -0.723
4.888 3.307 -0.723
1.348 1.100 4.865
4.888 1.100 4.865

[10]
PBE AcHo3Er, optimized geometry; ΔH_f (0 K) = 0.3 eV per formula unit; DFT total energy = -44.29 eV for the cell shown; DOS at the Fermi energy = 16.9 states/eV per cell; excess energy over the best structure of this formula in the dataset = 0.0 meV per atom; total magnetic moment = 0.000 Bohr magnetons per cell
1.0
1.842 -15.823 0.000
1.842 15.823 0.000
0.000 0.000 5.774
Ac Ho Er
2 6 2
Cartesian
1.842 10.582 2.887
1.842 -10.582 0.000
1.842 14.794 5.769
1.842 8.457 0.001
1.842 2.008 5.769
1.842 -2.008 2.882
1.842 -8.457 2.888
1.842 -14.794 2.881
1.842 4.127 2.886
1.842 -4.127 5.774

[11]
PBE YMgFe, optimized geometry; ΔH_f (0 K) = -0.1 eV per formula unit; DFT total energy = -33.25 eV for the cell shown; DOS at the Fermi energy = 5.5 states/eV per cell; total magnetic moment = 1.599 Bohr magnetons per cell
1.0
2.035 -8.585 0.000
2.035 8.585 0.000
0.000 0.000 3.730
Y Mg Fe
2 2 2
Cartesian
2.035 7.049 2.798
2.035 -7.049 0.933
2.035 3.465 2.798
2.035 -3.465 0.933
2.035 0.587 2.798
2.035 -0.587 0.933

[12]
PBE PrGd2Cl, optimized geometry; DFT total energy = -37.49 eV for the cell shown; DOS at the Fermi energy = 5.3 states/eV per cell; raw formation energy = -0.676 eV per atom; total magnetic moment = 14.223 Bohr magnetons per cell
1.0
1.839 1.062 10.057
-1.839 1.062 10.057
0.000 -2.123 10.057
Pr Gd Cl
1 2 1
Cartesian
0.000 0.000 0.000
0.000 0.000 7.175
0.000 0.000 22.997
0.000 0.000 15.086